[1]
Crystalline TiCoS2 at its relaxed geometry. Source: Alexandria, functional PBE.

Cell and atoms, written as POSCAR:
```
TiCoS2
1.0
5.1194 0.4662 5.5106
5.9698 -2.3341 3.9630
6.9816 0.5861 2.7760
S Co Ti
2 1 1
Direct
0.9018 0.9018 0.9018
0.0982 0.0982 0.0982
0.0000 0.0000 0.0000
0.5000 0.5000 0.5000
```

Calculated values
N(E_F) = 1.873 states/eV/atom
E_form (uncorrected) = -0.626 eV/atom
magnetization = 1.564 Bohr magnetons per cell
energy relative to the lowest polymorph listed for this composition = 0.322 eV per atom

=====

[2]
Crystalline TiCoS2 at its relaxed geometry. Source: Alexandria, functional PBE.

Cell and atoms, written as POSCAR:
```
TiCoS2
1.0
5.2492 0.0000 0.0000
0.0000 5.2492 0.0000
2.6246 2.6246 5.2392
S Co Ti
4 2 2
Direct
0.6472 0.1250 0.2500
0.1028 0.6250 0.2500
0.3750 0.3528 0.7500
0.8750 0.8972 0.7500
0.0000 0.0000 0.0000
0.7500 0.2500 0.5000
0.5000 0.5000 0.0000
0.2500 0.7500 0.5000
```

Calculated values
N(E_F) = 0.444 states/eV/atom
E_form (uncorrected) = -0.745 eV/atom
magnetization = 2.036 Bohr magnetons per cell
energy relative to the lowest polymorph listed for this composition = 0.202 eV per atom

=====

[3]
Crystalline TiCoS3 at its relaxed geometry. Source: Alexandria, functional PBE.

Cell and atoms, written as POSCAR:
```
TiCoS3
1.0
-3.6295 -0.9235 -2.2156
-1.7070 -1.8307 3.5595
-1.6875 3.8381 1.1647
S Co Ti
3 1 1
Direct
0.0000 0.5000 0.0000
0.0000 0.0000 0.5000
0.5000 0.0000 0.0000
0.0000 0.0000 0.0000
0.5000 0.5000 0.5000
```

Calculated values
N(E_F) = 0.690 states/eV/atom
E_form (uncorrected) = 0.074 eV/atom
magnetization = 0.000 Bohr magnetons per cell
energy relative to the lowest polymorph listed for this composition = 0.781 eV per atom

=====

[4]
Crystalline TiCoS2 at its relaxed geometry. Source: Alexandria, functional PBE.

Cell and atoms, written as POSCAR:
```
TiCoS2
1.0
-3.1832 0.6170 -0.8311
-1.5230 -4.9718 2.1423
-1.9179 5.5177 11.4419
Ti Co S
4 4 8
Direct
0.7500 0.2978 0.5651
0.2500 0.7022 0.4349
0.7500 0.7978 0.9349
0.2500 0.2022 0.0651
0.7500 0.8625 0.1388
0.7500 0.3625 0.3612
0.2500 0.1375 0.8612
0.2500 0.6375 0.6388
0.7500 0.8293 0.5722
0.2500 0.1707 0.4278
0.7500 0.3293 0.9278
0.2500 0.6707 0.0722
0.2500 0.2767 0.6972
0.7500 0.2233 0.1972
0.2500 0.7767 0.8028
0.7500 0.7233 0.3028
```

Calculated values
N(E_F) = 0.624 states/eV/atom
E_form (uncorrected) = -0.947 eV/atom
magnetization = 0.000 Bohr magnetons per cell
energy relative to the lowest polymorph listed for this composition = 0.000 eV per atom

=====

[5]
Crystalline Ti2CoS6 at its relaxed geometry. Source: Alexandria, functional PBE.

Cell and atoms, written as POSCAR:
```
Ti2CoS6
1.0
5.6232 0.0000 0.0000
0.0000 5.6232 0.0000
0.0000 0.0000 10.3618
Ti Co S
4 2 12
Direct
0.5000 0.5000 0.3414
0.5000 0.5000 0.6586
0.0000 0.0000 0.1586
0.0000 0.0000 0.8414
0.5000 0.5000 0.0000
0.0000 0.0000 0.5000
0.6896 0.6896 0.1634
0.6896 0.6896 0.8366
0.7122 0.7122 0.5000
0.7878 0.2122 0.0000
0.8104 0.1896 0.3366
0.8104 0.1896 0.6634
0.1896 0.8104 0.3366
0.1896 0.8104 0.6634
0.2122 0.7878 0.0000
0.2878 0.2878 0.5000
0.3104 0.3104 0.1634
0.3104 0.3104 0.8366
```

Calculated values
N(E_F) = 0.776 states/eV/atom
E_form (uncorrected) = -0.755 eV/atom
magnetization = 0.915 Bohr magnetons per cell

=====

[6]
Crystalline TiCo2S4 at its relaxed geometry. Source: Alexandria, functional PBE.

Cell and atoms, written as POSCAR:
```
TiCo2S4
1.0
-3.7085 5.0918 2.5141
-3.0515 -4.3192 4.2465
6.8119 1.6938 6.6177
Ti Co S
4 8 16
Direct
0.0000 0.7474 0.5000
0.2526 0.0000 0.7500
0.7474 0.0000 0.2500
0.0000 0.2526 0.0000
0.7370 0.7370 0.8750
0.2630 0.7370 0.1250
0.7370 0.2630 0.6250
0.2630 0.2630 0.3750
0.7584 0.5000 0.2500
0.5000 0.2416 0.0000
0.5000 0.7584 0.5000
0.2416 0.5000 0.7500
0.2574 0.0002 0.4994
0.7426 0.0002 0.5006
0.9998 0.2574 0.7494
0.7426 0.9998 0.9994
0.2672 0.4886 0.9884
0.5114 0.2672 0.2384
0.4886 0.7328 0.7384
0.2672 0.5114 0.5116
0.7328 0.4886 0.0116
0.7328 0.5114 0.4884
0.4886 0.2672 0.7616
0.5114 0.7328 0.2616
0.0002 0.2574 0.2506
0.2574 0.9998 0.0006
0.0002 0.7426 0.2494
0.9998 0.7426 0.7506
```

Calculated values
N(E_F) = 0.812 states/eV/atom
E_form (uncorrected) = -0.705 eV/atom
magnetization = 2.902 Bohr magnetons per cell

=====

[7]
Crystalline Ti2CoS at its relaxed geometry. Source: Alexandria, functional PBE.

Cell and atoms, written as POSCAR:
```
Ti2CoS
1.0
-0.1387 -6.4568 -0.5022
6.4315 -0.0784 -0.7684
3.4736 -3.4893 2.1260
S Co Ti
2 2 4
Direct
0.5000 0.5000 0.0000
0.2500 0.7500 0.5000
0.0000 0.0000 0.0000
0.7500 0.2500 0.5000
0.6267 0.1250 0.2500
0.1233 0.6250 0.2500
0.3750 0.3733 0.7500
0.8750 0.8767 0.7500
```

Calculated values
N(E_F) = 1.124 states/eV/atom
E_form (uncorrected) = -0.348 eV/atom
magnetization = 0.000 Bohr magnetons per cell

=====

[8]
Crystalline TiCoS4 at its relaxed geometry. Source: Alexandria, functional PBE.

Cell and atoms, written as POSCAR:
```
TiCoS4
1.0
-2.9824 3.1019 -1.1964
-2.9677 -3.2083 -0.9204
0.9441 0.2977 6.7548
Ti Co S
1 1 4
Direct
0.2500 0.7500 0.5000
0.5000 0.5000 0.0000
0.0471 0.5471 0.0943
0.6852 0.6852 0.3705
0.4529 0.9529 0.9057
0.3148 0.3148 0.6295
```

Calculated values
N(E_F) = 0.881 states/eV/atom
E_form (uncorrected) = -0.489 eV/atom
magnetization = 1.073 Bohr magnetons per cell

=====

[9]
Crystalline TiCoS3 at its relaxed geometry. Source: Alexandria, functional PBE.

Cell and atoms, written as POSCAR:
```
TiCoS3
1.0
-4.5877 -0.3020 -0.7933
0.8064 -2.9125 -3.5545
-0.2651 -3.6322 2.9161
S Co Ti
3 1 1
Direct
0.0000 0.5000 0.0000
0.0000 0.0000 0.5000
0.5000 0.0000 0.0000
0.5000 0.5000 0.5000
0.0000 0.0000 0.0000
```

Calculated values
N(E_F) = 1.925 states/eV/atom
E_form (uncorrected) = 0.111 eV/atom
magnetization = 2.930 Bohr magnetons per cell
energy relative to the lowest polymorph listed for this composition = 0.819 eV per atom

=====

[10]
Crystalline Ti3CoS at its relaxed geometry. Source: Alexandria, functional PBE.

Cell and atoms, written as POSCAR:
```
Ti3CoS
1.0
-3.2025 -0.9890 -2.9723
3.1027 -1.5866 -2.8151
-0.4312 -4.0710 1.8192
S Co Ti
1 1 3
Direct
0.5000 0.5000 0.5000
0.0000 0.0000 0.0000
0.0000 0.5000 0.0000
0.0000 0.0000 0.5000
0.5000 0.0000 0.0000
```

Calculated values
N(E_F) = 1.049 states/eV/atom
E_form (uncorrected) = 0.151 eV/atom
magnetization = 0.000 Bohr magnetons per cell
energy relative to the lowest polymorph listed for this composition = 0.243 eV per atom

=====

[11]
Crystalline Ti3CoS at its relaxed geometry. Source: Alexandria, functional PBE.

Cell and atoms, written as POSCAR:
```
Ti3CoS
1.0
-1.0891 -0.9113 -4.1659
0.2687 -4.3058 0.8716
-4.2560 -0.0386 1.1211
S Co Ti
1 1 3
Direct
0.0000 0.0000 0.0000
0.5000 0.5000 0.5000
0.0000 0.5000 0.0000
0.0000 0.0000 0.5000
0.5000 0.0000 0.0000
```

Calculated values
N(E_F) = 0.930 states/eV/atom
E_form (uncorrected) = -0.092 eV/atom
magnetization = 0.000 Bohr magnetons per cell
energy relative to the lowest polymorph listed for this composition = 0.000 eV per atom

=====

[12]
Crystalline TiTlCoS2 at its relaxed geometry. Source: Alexandria, functional PBE.

Cell and atoms, written as POSCAR:
```
TiTlCoS2
1.0
5.0883 0.0000 0.0000
0.0000 5.2941 0.0000
0.0000 0.0000 5.0883
Tl Co S Ti
1 1 2 1
Direct
0.0000 0.0000 0.0000
0.5000 0.5000 0.5000
0.0000 0.0000 0.5000
0.5000 0.0000 0.0000
0.0000 0.5000 0.0000
```

Calculated values
N(E_F) = 1.750 states/eV/atom
E_form (uncorrected) = 1.538 eV/atom
magnetization = 0.670 Bohr magnetons per cell

=====

[13]
Crystalline TlCo3S at its relaxed geometry. Source: Alexandria, functional PBE.

Cell and atoms, written as POSCAR:
```
TlCo3S
1.0
4.8149 0.0000 0.0000
0.0000 4.8149 0.0000
0.0000 0.0000 4.8149
Tl Co S
1 3 1
Direct
0.0000 0.0000 0.0000
0.0000 0.5000 0.0000
0.0000 0.0000 0.5000
0.5000 0.0000 0.0000
0.5000 0.5000 0.5000
```

Calculated values
N(E_F) = 2.398 states/eV/atom
E_form (uncorrected) = 1.824 eV/atom
magnetization = 4.982 Bohr magnetons per cell
energy relative to the lowest polymorph listed for this composition = 1.575 eV per atom

=====

[14]
Crystalline TlCo3S at its relaxed geometry. Source: Alexandria, functional PBE.

Cell and atoms, written as POSCAR:
```
TlCo3S
1.0
-2.6641 -3.1317 0.7965
2.2867 -2.5565 -2.4030
2.2831 -1.0937 3.3362
Tl Co S
1 3 1
Direct
0.5000 0.5000 0.5000
0.0000 0.5000 0.0000
0.0000 0.0000 0.5000
0.5000 0.0000 0.0000
0.0000 0.0000 0.0000
```

Calculated values
N(E_F) = 1.155 states/eV/atom
E_form (uncorrected) = 0.249 eV/atom
magnetization = 2.463 Bohr magnetons per cell
energy relative to the lowest polymorph listed for this composition = 0.000 eV per atom

=====

[15]
Crystalline Tl2CoS2 at its relaxed geometry. Source: Alexandria, functional PBE.

Cell and atoms, written as POSCAR:
```
Tl2CoS2
1.0
-0.0745 0.2786 -5.9390
-4.5199 -3.8614 -0.1245
-3.9215 4.5817 0.2641
Tl Co S
4 2 4
Direct
0.1984 0.6984 0.5000
0.6984 0.8016 0.5000
0.8016 0.3016 0.5000
0.3016 0.1984 0.5000
0.0000 0.0000 0.0000
0.5000 0.5000 0.0000
0.3629 0.8629 0.0000
0.8629 0.6371 0.0000
0.6371 0.1371 0.0000
0.1371 0.3629 0.0000
```

Calculated values
N(E_F) = 0.573 states/eV/atom
E_form (uncorrected) = 0.026 eV/atom
magnetization = 2.810 Bohr magnetons per cell
energy relative to the lowest polymorph listed for this composition = 0.000 eV per atom

=====

[16]
Crystalline Tl2Co3S6 at its relaxed geometry. Source: Alexandria, functional PBE.

Cell and atoms, written as POSCAR:
```
Tl2Co3S6
1.0
5.6835 0.0000 1.6978
2.8418 5.1472 0.8489
-0.1150 0.0000 7.3301
Tl Co S
2 3 6
Direct
0.1663 0.6674 0.5000
0.8337 0.3326 0.5000
0.0000 0.0000 0.0000
0.3306 0.3389 0.0000
0.6694 0.6611 0.0000
0.3861 0.6667 0.8423
0.7201 0.0000 0.8408
0.0528 0.3333 0.8423
0.2799 0.0000 0.1592
0.6139 0.3333 0.1577
0.9472 0.6667 0.1577
```

Calculated values
N(E_F) = 0.285 states/eV/atom
E_form (uncorrected) = -0.339 eV/atom
magnetization = 0.000 Bohr magnetons per cell

=====

[17]
Crystalline TlCo6S8 at its relaxed geometry. Source: Alexandria, functional PBE.

Cell and atoms, written as POSCAR:
```
TlCo6S8
1.0
6.2420 0.0808 -0.1165
-0.1202 6.2413 -0.1165
0.0783 0.0808 6.2426
Tl Co S
1 6 8
Direct
0.0000 0.0000 0.0000
0.5955 0.4303 0.8134
0.4303 0.8134 0.5955
0.8134 0.5955 0.4303
0.4045 0.5697 0.1866
0.5697 0.1866 0.4045
0.1866 0.4045 0.5697
0.7374 0.7374 0.7374
0.2626 0.2626 0.2626
0.6120 0.8549 0.2819
0.8549 0.2819 0.6120
0.2819 0.6120 0.8549
0.3880 0.1451 0.7181
0.1451 0.7181 0.3880
0.7181 0.3880 0.1451
```

Calculated values
N(E_F) = 0.714 states/eV/atom
E_form (uncorrected) = -0.353 eV/atom
magnetization = 0.001 Bohr magnetons per cell

=====

[18]
Crystalline Tl2CoS at its relaxed geometry. Source: Alexandria, functional PBE.

Cell and atoms, written as POSCAR:
```
Tl2CoS
1.0
0.0000 3.6060 3.6060
3.6060 0.0000 3.6060
3.6060 3.6060 0.0000
Tl Co S
2 1 1
Direct
0.2500 0.2500 0.2500
0.7500 0.7500 0.7500
0.5000 0.5000 0.5000
0.0000 0.0000 0.0000
```

Calculated values
N(E_F) = 1.150 states/eV/atom
E_form (uncorrected) = 0.625 eV/atom
magnetization = 2.567 Bohr magnetons per cell
energy relative to the lowest polymorph listed for this composition = 0.123 eV per atom

=====

[19]
Crystalline Tl2CoS at its relaxed geometry. Source: Alexandria, functional PBE.

Cell and atoms, written as POSCAR:
```
Tl2CoS
1.0
6.3004 0.0000 0.0000
0.0000 6.3004 0.0000
3.1502 3.1502 5.9428
Tl Co S
4 2 2
Direct
0.6470 0.1250 0.2500
0.1030 0.6250 0.2500
0.3750 0.3530 0.7500
0.8750 0.8970 0.7500
0.0000 0.0000 0.0000
0.7500 0.2500 0.5000
0.5000 0.5000 0.0000
0.2500 0.7500 0.5000
```

Calculated values
N(E_F) = 0.671 states/eV/atom
E_form (uncorrected) = 0.502 eV/atom
magnetization = 2.701 Bohr magnetons per cell
energy relative to the lowest polymorph listed for this composition = 0.000 eV per atom

=====

[20]
Crystalline TlCoS at its relaxed geometry. Source: Alexandria, functional PBE.

Cell and atoms, written as POSCAR:
```
TlCoS
1.0
3.5586 0.0000 0.0000
0.0000 3.5586 0.0000
0.0000 0.0000 9.9730
S Tl Co
2 2 2
Direct
0.5000 0.0000 0.6288
0.0000 0.5000 0.3712
0.5000 0.0000 0.1260
0.0000 0.5000 0.8740
0.5000 0.5000 0.5000
0.0000 0.0000 0.5000
```

Calculated values
N(E_F) = 1.006 states/eV/atom
E_form (uncorrected) = -0.243 eV/atom
magnetization = 0.549 Bohr magnetons per cell